# 1
First-principles (PBE) data for Ag5Sn2Pd12 after structural relaxation, as listed in Alexandria via LeMat-Bulk.

The structure in CIF format:
```
data_Ag5Sn2Pd12
_space_group_name_H-M_alt 'C 1 2/m 1'
_space_group_IT_number 12
_cell_length_a 13.992
_cell_length_b 9.439
_cell_length_c 4.983
_cell_angle_alpha 90.00
_cell_angle_beta 103.22
_cell_angle_gamma 90.00
loop_
_space_group_symop_operation_xyz
'x,y,z'
'-x,-y,-z'
'-x,y,-z'
'x,-y,z'
'x+1/2,y+1/2,z'
'-x+1/2,-y+1/2,-z'
'-x+1/2,y+1/2,-z'
'x+1/2,-y+1/2,z'
loop_
_atom_site_label
_atom_site_type_symbol
_atom_site_fract_x
_atom_site_fract_y
_atom_site_fract_z
_atom_site_occupancy
Ag1 Ag 0.000 0.000 0.000 1
Ag2 Ag 0.177 0.500 0.372 1
Ag3 Ag 0.215 0.000 0.063 1
Sn1 Sn 0.000 0.252 0.500 1
Pd1 Pd 0.057 0.500 0.789 1
Pd2 Pd 0.101 0.252 0.119 1
Pd3 Pd 0.107 0.000 0.519 1
Pd4 Pd 0.199 0.251 0.708 1
```

Properties
As for the total energy: -4.62 eV per atom. The size of the total moment is 0.000 μB/f.u. As for the density of states at the Fermi level: 18.054 states/eV per cell.



# 2
First-principles (PBE) data for Pr7Dy2Y2 after structural relaxation, as listed in Alexandria via LeMat-Bulk.

The structure in CIF format:
```
data_Pr7Dy2Y2
_space_group_name_H-M_alt 'C 1 2/m 1'
_space_group_IT_number 12
_cell_length_a 10.836
_cell_length_b 9.012
_cell_length_c 8.311
_cell_angle_alpha 90.00
_cell_angle_beta 105.55
_cell_angle_gamma 90.00
loop_
_space_group_symop_operation_xyz
'x,y,z'
'-x,-y,-z'
'-x,y,-z'
'x,-y,z'
'x+1/2,y+1/2,z'
'-x+1/2,-y+1/2,-z'
'-x+1/2,y+1/2,-z'
'x+1/2,-y+1/2,z'
loop_
_atom_site_label
_atom_site_type_symbol
_atom_site_fract_x
_atom_site_fract_y
_atom_site_fract_z
_atom_site_occupancy
Pr1 Pr 0.000 0.000 0.000 1
Pr2 Pr 0.217 0.303 0.179 1
Pr3 Pr 0.238 0.500 0.554 1
Dy1 Dy 0.052 0.500 0.810 1
Y1 Y 0.000 0.212 0.500 1
```

Properties
The calculation puts the polymorph energy (0 for the lowest one) at 17 meV per atom. As for the total energy: -4.90 eV per atom. The size of the total moment is 0.000 μB/f.u. As for the density of states at the Fermi level: 28.626 states/eV per cell.



| no. | DFT formation energy (eV/f.u.) |
| --- | --- |
| 1 | -3.15 |
| 2 | 1.64 |